No. 1
Crystalline HgWSe2 at its relaxed geometry. Source: Alexandria, functional PBE-GGA.

N(E_F): 5.97 states/eV/cell
raw formation energy: 0.226 eV per atom
space group: No. 122

Lattice parameters (Å, degrees): 7.321 7.321 7.399 60.35 60.35 90.00
Positions (direct):
Hg 0.000 0.000 0.000
Hg 0.750 0.250 0.500
Se 0.275 0.625 0.250
Se 0.475 0.125 0.250
Se 0.375 0.525 0.750
Se 0.875 0.725 0.750
W 0.500 0.500 0.000
W 0.250 0.750 0.500

No. 2
Crystalline AsPd2Br2 at its relaxed geometry. Source: Alexandria, functional PBE-GGA.

N(E_F): 3.16 states/eV/cell
raw formation energy: 0.567 eV per atom
space group: No. 139

Lattice parameters (Å, degrees): 3.801 3.801 8.252 76.69 76.69 90.00
Positions (direct):
Br 0.250 0.750 0.500
Br 0.750 0.250 0.500
Pd 0.581 0.581 0.838
Pd 0.419 0.419 0.162
As 0.000 0.000 0.000

No. 3
Crystalline La5P12Ru19 at its relaxed geometry. Source: Alexandria, functional PBE-GGA.

N(E_F): 25.69 states/eV/cell
space group: No. 189
formation energy from the elements: -0.83 eV per atom

Lattice parameters (Å, degrees): 12.699 12.699 4.037 90.00 90.00 120.00
Positions (direct):
Ru 0.368 0.492 0.500
Ru 0.555 0.555 0.000
Ru 0.000 0.000 0.000
Ru 0.194 0.815 0.000
Ru 0.508 0.876 0.500
Ru 0.000 0.286 0.500
Ru 0.124 0.632 0.500
Ru 0.185 0.379 0.000
Ru 0.492 0.368 0.500
Ru 0.632 0.124 0.500
Ru 0.286 0.000 0.500
Ru 0.621 0.806 0.000
Ru 0.876 0.508 0.500
Ru 0.445 0.000 0.000
Ru 0.379 0.185 0.000
Ru 0.806 0.621 0.000
Ru 0.714 0.714 0.500
Ru 0.000 0.445 0.000
Ru 0.815 0.194 0.000
P 0.171 0.475 0.500
P 0.811 0.811 0.000
P 0.376 0.376 0.000
P 0.304 0.829 0.500
P 0.189 0.000 0.000
P 0.000 0.624 0.000
P 0.000 0.189 0.000
P 0.624 0.000 0.000
P 0.696 0.525 0.500
P 0.475 0.171 0.500
P 0.829 0.304 0.500
P 0.525 0.696 0.500
La 0.000 0.817 0.500
La 0.333 0.667 0.000
La 0.667 0.333 0.000
La 0.817 0.000 0.500
La 0.183 0.183 0.500

No. 4
Crystalline CaLaHoAl at its relaxed geometry. Source: Alexandria, functional PBE-GGA.

N(E_F): 2.92 states/eV/cell
space group: No. 216
formation energy from the elements: -0.07 eV per atom

Lattice parameters (Å, degrees): 5.491 5.491 5.491 60.00 60.00 60.00
Positions (direct):
La 0.000 0.000 0.000
Ca 0.250 0.250 0.250
Ho 0.500 0.500 0.500
Al 0.750 0.750 0.750

No. 5
Crystalline TaOs at its relaxed geometry. Source: Alexandria, functional PBE-GGA.

N(E_F): 2.92 states/eV/cell
space group: No. 129
formation energy from the elements: -0.04 eV per atom

Lattice parameters (Å, degrees): 2.791 2.791 8.485 90.00 90.00 90.00
Positions (direct):
Os 0.250 0.250 0.101
Os 0.750 0.750 0.899
Ta 0.250 0.250 0.639
Ta 0.750 0.750 0.361

No. 6
Crystalline Li4PrPd8 at its relaxed geometry. Source: Alexandria, functional PBE-GGA.

N(E_F): 6.14 states/eV/cell
space group: No. 139
formation energy from the elements: -0.45 eV per atom

Lattice parameters (Å, degrees): 4.989 6.832 6.832 82.34 68.59 68.59
Positions (direct):
Pd 0.351 0.649 0.649
Pd 0.000 0.649 0.351
Pd 0.649 0.351 0.351
Pd 0.500 0.221 0.779
Pd 0.000 0.351 0.649
Pd 0.721 0.779 0.779
Pd 0.500 0.779 0.221
Pd 0.279 0.221 0.221
Li 0.500 0.500 0.000
Li 0.000 0.500 0.000
Li 0.500 0.000 0.500
Li 0.000 0.000 0.500
Pr 0.000 0.000 0.000

No. 7
Crystalline InMoP2 at its relaxed geometry. Source: Alexandria, functional PBE-GGA.

N(E_F): 2.00 states/eV/cell
space group: No. 10
formation energy from the elements: -0.13 eV per atom

Lattice parameters (Å, degrees): 3.109 3.100 8.000 65.05 90.00 90.00
Positions (direct):
Mo 0.500 0.750 0.750
P 0.000 0.450 0.566
P 0.000 0.050 0.934
In 0.500 0.250 0.250

No. 8
Crystalline KInAu4 at its relaxed geometry. Source: Alexandria, functional PBE-GGA.

N(E_F): 2.44 states/eV/cell
space group: No. 63
formation energy from the elements: -0.13 eV per atom

Lattice parameters (Å, degrees): 4.304 7.043 9.244 90.00 103.46 90.00
Positions (direct):
Au 0.341 0.446 0.682
Au 0.659 0.554 0.318
Au 0.341 0.054 0.682
Au 0.500 0.500 0.000
Au 0.929 0.250 0.858
Au 0.659 0.946 0.318
Au 0.071 0.750 0.142
Au 0.500 0.000 0.000
K 0.104 0.250 0.208
K 0.896 0.750 0.792
In 0.760 0.250 0.520
In 0.240 0.750 0.480

No. 9
Crystalline Ta2NiHRu at its relaxed geometry. Source: Alexandria, functional PBE-GGA.

N(E_F): 3.65 states/eV/cell
total DFT energy (no corrections): -42.872 eV for the cell shown
space group: No. 123

Lattice parameters (Å, degrees): 4.066 4.066 3.835 90.00 90.00 90.00
Positions (direct):
Ni 0.500 0.500 0.500
Ru 0.000 0.000 0.500
Ta 0.500 0.000 0.000
Ta 0.000 0.500 0.000
H 0.000 0.000 0.000

No. 10
Crystalline AgSnPb5 at its relaxed geometry. Source: Alexandria, functional PBE-GGA.

N(E_F): 6.55 states/eV/cell
space group: No. 15
formation energy from the elements: 0.09 eV per atom

Lattice parameters (Å, degrees): 6.089 6.089 11.925 75.73 75.73 90.83
Positions (direct):
Pb 0.959 0.503 0.142
Pb 0.503 0.959 0.642
Pb 0.483 0.782 0.941
Pb 0.782 0.483 0.441
Pb 0.410 0.590 0.250
Pb 0.218 0.517 0.559
Pb 0.497 0.041 0.358
Pb 0.041 0.497 0.858
Pb 0.590 0.410 0.750
Pb 0.517 0.218 0.059
Ag 0.000 0.000 0.000
Ag 0.000 0.000 0.500
Sn 0.028 0.972 0.250
Sn 0.972 0.028 0.750

No. 11
Crystalline AlCuGe at its relaxed geometry. Source: Alexandria, functional PBE-GGA.

N(E_F): 2.17 states/eV/cell
space group: No. 1
formation energy from the elements: 0.01 eV per atom

Lattice parameters (Å, degrees): 5.000 4.938 4.943 119.54 75.14 75.97
Positions (direct):
Cu 0.843 0.725 0.170
Cu 0.842 0.225 0.671
Al 0.655 0.817 0.766
Al 0.347 0.313 0.579
Ge 0.034 0.128 0.077
Ge 0.348 0.627 0.264

No. 12
Crystalline TePb2 at its relaxed geometry. Source: Alexandria, functional PBE-GGA.

N(E_F): 2.78 states/eV/cell
raw formation energy: 0.003 eV per atom
space group: No. 194

Lattice parameters (Å, degrees): 5.035 5.035 9.579 90.00 90.00 120.00
Positions (direct):
Pb 0.333 0.667 0.583
Pb 0.333 0.667 0.917
Pb 0.667 0.333 0.083
Pb 0.667 0.333 0.417
Te 0.000 0.000 0.250
Te 0.000 0.000 0.750